Entry from Alexandria via LeMat-Bulk: a relaxed structure of Dy12Er5Th3 (PBE).

Properties
Total moment   0.02 Bohr magnetons per cell
Calculated total energy   -0.1439 Ha/atom
Energy of formation   1099 meV per atom

abc: 16.357 16.357 16.357
angles: 109.47 109.47 109.47
Element x y z (fractional)
Dy: 0.070 0.644 0.418
Dy: 0.070 0.926 0.652
Dy: 0.074 0.226 0.144
Dy: 0.074 0.348 0.930
Dy: 0.082 0.726 0.652
Dy: 0.082 0.856 0.430
Dy: 0.144 0.074 0.226
Dy: 0.144 0.570 0.918
Dy: 0.152 0.226 0.582
Dy: 0.152 0.426 0.570
Dy: 0.226 0.144 0.074
Dy: 0.226 0.582 0.152
Dy: 0.274 0.348 0.918
Dy: 0.274 0.426 0.356
Dy: 0.348 0.918 0.274
Dy: 0.348 0.930 0.074
Dy: 0.356 0.274 0.426
Dy: 0.356 0.582 0.930
Dy: 0.418 0.070 0.644
Dy: 0.418 0.848 0.774
Dy: 0.426 0.356 0.274
Dy: 0.426 0.570 0.152
Dy: 0.430 0.082 0.856
Dy: 0.430 0.848 0.574
Dy: 0.570 0.152 0.426
Dy: 0.570 0.918 0.144
Dy: 0.574 0.430 0.848
Dy: 0.574 0.644 0.726
Dy: 0.582 0.152 0.226
Dy: 0.582 0.930 0.356
Dy: 0.644 0.418 0.070
Dy: 0.644 0.726 0.574
Dy: 0.652 0.070 0.926
Dy: 0.652 0.082 0.726
Dy: 0.726 0.574 0.644
Dy: 0.726 0.652 0.082
Dy: 0.774 0.418 0.848
Dy: 0.774 0.856 0.926
Dy: 0.848 0.574 0.430
Dy: 0.848 0.774 0.418
Dy: 0.856 0.430 0.082
Dy: 0.856 0.926 0.774
Dy: 0.918 0.144 0.570
Dy: 0.918 0.274 0.348
Dy: 0.926 0.652 0.070
Dy: 0.926 0.774 0.856
Dy: 0.930 0.074 0.348
Dy: 0.930 0.356 0.582
Er: 0.000 0.000 0.000
Er: 0.000 0.000 0.500
Er: 0.000 0.500 0.000
Er: 0.000 0.500 0.500
Er: 0.125 0.750 0.875
Er: 0.125 0.875 0.250
Er: 0.250 0.125 0.875
Er: 0.250 0.625 0.375
Er: 0.375 0.250 0.625
Er: 0.375 0.625 0.750
Er: 0.500 0.000 0.000
Er: 0.500 0.000 0.500
Er: 0.500 0.500 0.000
Er: 0.500 0.500 0.500
Er: 0.625 0.375 0.250
Er: 0.625 0.750 0.375
Er: 0.750 0.375 0.625
Er: 0.750 0.875 0.125
Er: 0.875 0.125 0.750
Er: 0.875 0.250 0.125
Th: 0.125 0.250 0.375
Th: 0.125 0.375 0.750
Th: 0.250 0.375 0.125
Th: 0.250 0.875 0.625
Th: 0.375 0.125 0.250
Th: 0.375 0.750 0.125
Th: 0.625 0.250 0.875
Th: 0.625 0.875 0.750
Th: 0.750 0.125 0.375
Th: 0.750 0.625 0.875
Th: 0.875 0.625 0.250
Th: 0.875 0.750 0.625